[1]
## PbO3F (PBE)

Data for a relaxed structure of PbO3F.

Results
crystal system = cubic
uncorrected formation energy = 0.325 eV per atom
ρ = 6.2 g cm⁻³
total magnetization = 0.602 μB/atom
total DFT energy (no corrections) = -18.83 eV/f.u.
calculated volume = 73.5 Å³/cell

a = 4.189 Å, b = 4.189 Å, c = 4.189 Å
α = 90.00°, β = 90.00°, γ = 90.00°
Positions (direct):
Pb  0.000  0.000  0.000
O  0.000  0.000  0.500
O  0.000  0.500  0.000
O  0.500  0.000  0.000
F  0.500  0.500  0.500


[2]
## YHfNi10 (PBE)

Data for a relaxed structure of YHfNi10.

Results
crystal system = orthorhombic
energy relative to the elements = -0.304 eV per atom
ρ = 9.0 g cm⁻³
total magnetization = 0.214 μB/atom
total DFT energy (no corrections) = -77.88 eV/f.u.
calculated volume = 158.3 Å³/cell

a = 3.962 Å, b = 4.802 Å, c = 8.318 Å
α = 90.00°, β = 90.00°, γ = 90.00°
Positions (direct):
Y  0.000  0.000  0.000
Hf  0.000  0.500  0.500
Ni  0.000  0.000  0.341
Ni  0.000  0.000  0.659
Ni  0.000  0.500  0.177
Ni  0.000  0.500  0.823
Ni  0.500  0.000  0.500
Ni  0.500  0.254  0.257
Ni  0.500  0.254  0.743
Ni  0.500  0.500  0.000
Ni  0.500  0.746  0.257
Ni  0.500  0.746  0.743


[3]
## Cs2PaPb2S6 (PBE)

Data for a relaxed structure of Cs2PaPb2S6.

Results
crystal system = monoclinic
uncorrected formation energy = -1.068 eV per atom
ρ = 4.9 g cm⁻³
total magnetization = 0.000 μB/atom
total DFT energy (no corrections) = -55.13 eV/f.u.
calculated volume = 370.5 Å³/cell

a = 7.173 Å, b = 7.173 Å, c = 8.644 Å
α = 98.67°, β = 98.67°, γ = 119.23°
Positions (direct):
Cs  0.174  0.826  0.000
Cs  0.826  0.174  0.000
Pa  0.000  0.000  0.500
Pb  0.332  0.668  0.500
Pb  0.668  0.332  0.500
S  0.065  0.372  0.685
S  0.237  0.237  0.317
S  0.372  0.065  0.685
S  0.628  0.935  0.315
S  0.763  0.763  0.683
S  0.935  0.628  0.315


[4]
## Ba8LiCd2 (PBE)

Data for a relaxed structure of Ba8LiCd2.

Results
crystal system = monoclinic
energy relative to the elements = -0.051 eV per atom
offset from the most stable computed form = 38 meV per atom
ρ = 3.8 g cm⁻³
total magnetization = 0.000 μB/atom
total DFT energy (no corrections) = -19.69 eV/f.u.
calculated volume = 575.6 Å³/cell

a = 9.649 Å, b = 9.649 Å, c = 6.929 Å
α = 99.09°, β = 99.09°, γ = 111.60°
Positions (direct):
Ba  0.000  0.000  0.000
Ba  0.045  0.305  0.598
Ba  0.136  0.609  0.193
Ba  0.305  0.045  0.598
Ba  0.439  0.699  0.787
Ba  0.609  0.136  0.193
Ba  0.699  0.439  0.787
Ba  0.745  0.745  0.386
Li  0.372  0.372  0.197
Cd  0.057  0.687  0.693
Cd  0.687  0.057  0.693


[5]
## Li2Y2PuPd5 (PBE)

Data for a relaxed structure of Li2Y2PuPd5.

Results
crystal system = tetragonal
energy relative to the elements = -0.622 eV per atom
ρ = 8.8 g cm⁻³
total magnetization = 0.537 μB/atom
total DFT energy (no corrections) = -63.27 eV/f.u.
calculated volume = 364.8 Å³/cell

a = 9.864 Å, b = 9.864 Å, c = 3.749 Å
α = 90.00°, β = 90.00°, γ = 90.00°
Positions (direct):
Li  0.119  0.381  0.000
Li  0.381  0.881  0.000
Li  0.619  0.119  0.000
Li  0.881  0.619  0.000
Y  0.175  0.675  0.000
Y  0.325  0.175  0.000
Y  0.675  0.825  0.000
Y  0.825  0.325  0.000
Pu  0.000  0.000  0.000
Pu  0.500  0.500  0.000
Pd  0.000  0.500  0.500
Pd  0.070  0.215  0.500
Pd  0.215  0.930  0.500
Pd  0.285  0.430  0.500
Pd  0.430  0.715  0.500
Pd  0.500  0.000  0.500
Pd  0.570  0.285  0.500
Pd  0.715  0.570  0.500
Pd  0.785  0.070  0.500
Pd  0.930  0.785  0.500


[6]
## ThPaN3 (PBE)

Data for a relaxed structure of ThPaN3.

Results
crystal system = cubic
uncorrected formation energy = -1.025 eV per atom
ρ = 10.0 g cm⁻³
total magnetization = 0.015 μB/atom
total DFT energy (no corrections) = -47.02 eV/f.u.
calculated volume = 83.6 Å³/cell

a = 4.373 Å, b = 4.373 Å, c = 4.373 Å
α = 90.00°, β = 90.00°, γ = 90.00°
Positions (direct):
Th  0.000  0.000  0.000
Pa  0.500  0.500  0.500
N  0.000  0.500  0.500
N  0.500  0.000  0.500
N  0.500  0.500  0.000


[7]
## GaIr3Au (PBE)

Data for a relaxed structure of GaIr3Au.

Results
crystal system = cubic
energy relative to the elements = 2.168 eV per atom
offset from the most stable computed form = 804 meV per atom
ρ = 12.0 g cm⁻³
total magnetization = 0.348 μB/atom
total DFT energy (no corrections) = -22.05 eV/f.u.
calculated volume = 116.7 Å³/cell

a = 4.887 Å, b = 4.887 Å, c = 4.887 Å
α = 90.00°, β = 90.00°, γ = 90.00°
Positions (direct):
Ga  0.000  0.000  0.000
Ir  0.000  0.500  0.500
Ir  0.500  0.000  0.500
Ir  0.500  0.500  0.000
Au  0.500  0.500  0.500


[8]
## Cr2TeCl (PBE)

Data for a relaxed structure of Cr2TeCl.

Results
crystal system = tetragonal
offset from the most stable computed form = 198 meV per atom
uncorrected formation energy = 0.142 eV per atom
ρ = 4.7 g cm⁻³
total magnetization = 0.140 μB/atom
total DFT energy (no corrections) = -23.67 eV/f.u.
calculated volume = 94.0 Å³/cell

a = 7.058 Å, b = 7.058 Å, c = 7.058 Å
α = 148.81°, β = 148.81°, γ = 44.69°
Positions (direct):
Cr  0.000  0.000  0.000
Cr  0.750  0.250  0.500
Te  0.250  0.750  0.500
Cl  0.500  0.500  0.000


Which of these has the lowest ρ? Ba8LiCd2